VASP calculation (PBE-GGA) on an optimized crystal structure of GaNi7.

Lattice parameters (Å, degrees): 2.6642 2.6642 37.3262 90.00 90.00 90.00
Fractional positions:
Ga (0.0000, 0.0000, 0.0000)
Ga (0.5000, 0.5000, 0.3616)
Ni (0.0000, 0.0000, 0.4055)
Ni (0.0000, 0.0000, 0.4900)
Ni (0.0000, 0.0000, 0.5749)
Ni (0.0000, 0.0000, 0.6597)
Ni (0.0000, 0.0000, 0.7442)
Ni (0.0000, 0.0000, 0.8293)
Ni (0.0000, 0.0000, 0.9139)
Ni (0.5000, 0.5000, 0.4481)
Ni (0.5000, 0.5000, 0.5323)
Ni (0.5000, 0.5000, 0.6169)
Ni (0.5000, 0.5000, 0.7019)
Ni (0.5000, 0.5000, 0.7867)
Ni (0.5000, 0.5000, 0.8717)
Ni (0.5000, 0.5000, 0.9562)

Values from the calculation:
Crystal system: tetragonal

=====

VASP calculation (PBE-GGA) on an optimized crystal structure of GaNi15.

Lattice parameters (Å, degrees): 4.2915 33.6418 4.2915 90.00 109.39 90.00
Fractional positions:
Ga (0.0000, 0.0000, 0.0000)
Ga (0.5000, 0.4439, 0.0000)
Ni (0.0000, 0.4460, 0.5000)
Ni (0.0000, 0.4808, 0.0000)
Ni (0.0000, 0.5186, 0.5000)
Ni (0.0000, 0.5556, 0.0000)
Ni (0.0000, 0.5924, 0.5000)
Ni (0.0000, 0.6295, 0.0000)
Ni (0.0000, 0.6667, 0.5000)
Ni (0.0000, 0.7037, 0.0000)
Ni (0.0000, 0.7405, 0.5000)
Ni (0.0000, 0.7775, 0.0000)
Ni (0.0000, 0.8143, 0.5000)
Ni (0.0000, 0.8509, 0.0000)
Ni (0.0000, 0.8886, 0.5000)
Ni (0.0000, 0.9246, 0.0000)
Ni (0.0000, 0.9634, 0.5000)
Ni (0.5000, 0.4808, 0.5000)
Ni (0.5000, 0.5195, 0.0000)
Ni (0.5000, 0.5556, 0.5000)
Ni (0.5000, 0.5929, 0.0000)
Ni (0.5000, 0.6295, 0.5000)
Ni (0.5000, 0.6667, 0.0000)
Ni (0.5000, 0.7037, 0.5000)
Ni (0.5000, 0.7404, 0.0000)
Ni (0.5000, 0.7775, 0.5000)
Ni (0.5000, 0.8143, 0.0000)
Ni (0.5000, 0.8515, 0.5000)
Ni (0.5000, 0.8886, 0.0000)
Ni (0.5000, 0.9255, 0.5000)
Ni (0.5000, 0.9634, 0.0000)
Ni (0.5000, 0.9982, 0.5000)

Values from the calculation:
Crystal system: monoclinic

=====

no.,total magnetization (μB per atom),energy above the most stable polymorph in this dataset (meV per atom)
1,0.166,48
2,0.302,47